Density functional theory data (PBE with a Hubbard U) for crystalline NiGe2BO6 at its relaxed geometry.

Space-group type = C2/c, No. 15
DFT total energy = -127.13 eV for the cell shown
Total moment = 0.100 μB per atom
Crystal system = monoclinic

```
20
Lattice="5.321 0.211 0.219 1.975 6.864 -0.296 1.975 -0.550 6.849" Properties=species:S:1:pos:R:3 pbc="T T T"
O 2.514 -0.271 5.417
Ge 7.289 3.949 5.434
O 4.328 0.997 4.407
O 6.295 1.978 2.753
Ge 1.982 2.576 1.338
Ge 4.629 5.179 4.038
Ni 5.965 0.408 6.242
O 7.603 2.263 5.722
Ni 3.305 6.117 0.530
O 5.174 5.528 0.039
B 3.305 1.016 5.445
B 5.965 5.509 1.327
O 4.943 5.528 2.364
O 3.635 2.572 1.969
O 5.636 3.953 4.802
Ge 4.642 1.347 2.733
O 6.756 6.796 1.355
O 2.975 4.547 4.019
O 4.096 0.997 6.733
O 1.668 4.262 1.050
```